1.
# GGA-PBE Ce3NdPa2N6, relaxed
# Total magnetic moment in μB/f.u.: 0.00
# ΔE_f (raw) in meV per atom: -1568
data_Ce3NdPa2N6
_space_group_name_H-M_alt 'P 1'
_space_group_IT_number 1
_cell_length_a 6.1618
_cell_length_b 6.1618
_cell_length_c 6.1754
_cell_angle_alpha 99.60
_cell_angle_beta 99.60
_cell_angle_gamma 119.95
loop_
_space_group_symop_operation_xyz
'x,y,z'
loop_
_atom_site_label
_atom_site_type_symbol
_atom_site_fract_x
_atom_site_fract_y
_atom_site_fract_z
Ce1 Ce 0.5000 0.5000 0.5000
Ce2 Ce 0.8349 0.1651 0.5000
Ce3 Ce 0.1651 0.8349 0.5000
Nd1 Nd 0.0000 0.0000 0.0000
N1 N 0.5672 0.9217 0.7663
N2 N 0.0783 0.4328 0.2337
N3 N 0.9217 0.5672 0.7663
N4 N 0.7219 0.7219 0.2306
N5 N 0.4328 0.0783 0.2337
N6 N 0.2781 0.2781 0.7694
Pa1 Pa 0.6669 0.3331 0.0000
Pa2 Pa 0.3331 0.6669 0.0000


2.
# GGA-PBE CeNd3Pa2N6, relaxed
# Total magnetic moment in μB/f.u.: 0.00
# ΔE_f (raw) in meV per atom: -1557
data_CeNd3Pa2N6
_space_group_name_H-M_alt 'P 1'
_space_group_IT_number 1
_cell_length_a 6.2016
_cell_length_b 6.2016
_cell_length_c 6.2154
_cell_angle_alpha 99.57
_cell_angle_beta 99.57
_cell_angle_gamma 119.99
loop_
_space_group_symop_operation_xyz
'x,y,z'
loop_
_atom_site_label
_atom_site_type_symbol
_atom_site_fract_x
_atom_site_fract_y
_atom_site_fract_z
Ce1 Ce 0.0000 0.0000 0.0000
Nd1 Nd 0.8347 0.1653 0.5000
Nd2 Nd 0.5000 0.5000 0.5000
Nd3 Nd 0.1653 0.8347 0.5000
N1 N 0.9273 0.5802 0.7825
N2 N 0.2755 0.2755 0.7846
N3 N 0.7245 0.7245 0.2154
N4 N 0.4198 0.0727 0.2175
N5 N 0.0727 0.4198 0.2175
N6 N 0.5802 0.9273 0.7825
Pa1 Pa 0.6669 0.3331 0.0000
Pa2 Pa 0.3331 0.6669 0.0000


3.
# GGA-PBE Ce2Nd3PaN6, relaxed
# Total magnetic moment in μB/f.u.: 0.00
# ΔE_f (raw) in meV per atom: -1517
data_Ce2Nd3PaN6
_space_group_name_H-M_alt 'P 1'
_space_group_IT_number 1
_cell_length_a 6.2223
_cell_length_b 6.2223
_cell_length_c 6.2299
_cell_angle_alpha 99.58
_cell_angle_beta 99.58
_cell_angle_gamma 119.98
loop_
_space_group_symop_operation_xyz
'x,y,z'
loop_
_atom_site_label
_atom_site_type_symbol
_atom_site_fract_x
_atom_site_fract_y
_atom_site_fract_z
Nd1 Nd 0.5000 0.5000 0.5000
Nd2 Nd 0.1677 0.8323 0.5000
Nd3 Nd 0.8323 0.1677 0.5000
Ce1 Ce 0.6664 0.3336 0.0000
Ce2 Ce 0.3336 0.6664 0.0000
N1 N 0.9251 0.6064 0.7752
N2 N 0.0749 0.3936 0.2248
N3 N 0.7569 0.7569 0.2268
N4 N 0.2431 0.2431 0.7732
N5 N 0.6064 0.9251 0.7752
N6 N 0.3936 0.0749 0.2248
Pa1 Pa 0.0000 0.0000 0.0000


4.
# GGA-PBE CeNd2PaN4, relaxed
# Total magnetic moment in μB/f.u.: 0.00
# ΔE_f (raw) in meV per atom: -1534
data_CeNd2PaN4
_space_group_name_H-M_alt 'P 1'
_space_group_IT_number 1
_cell_length_a 3.5878
_cell_length_b 6.2113
_cell_length_c 6.2187
_cell_angle_alpha 109.35
_cell_angle_beta 90.00
_cell_angle_gamma 90.00
loop_
_space_group_symop_operation_xyz
'x,y,z'
loop_
_atom_site_label
_atom_site_type_symbol
_atom_site_fract_x
_atom_site_fract_y
_atom_site_fract_z
Ce1 Ce 0.5000 0.5000 0.0000
N1 N 0.5000 0.7732 0.7819
N2 N 0.0000 0.2437 0.7772
N3 N 0.5000 0.2268 0.2181
N4 N 0.0000 0.7563 0.2228
Nd1 Nd 0.5000 0.0000 0.5000
Nd2 Nd 0.0000 0.5000 0.5000
Pa1 Pa 0.0000 0.0000 0.0000